An optimized crystal structure of Tl2ReAg. Source: Alexandria, functional PBE-GGA. Values from VASP.

DFT total energy   -0.311 Ry per atom
Total moment   0.00 μB/f.u.
Energy relative to the elements   0.78 eV/atom
Density of states at the Fermi level   3.47 states/eV per cell

```
&SYSTEM
  ibrav = 0, nat = 4, ntyp = 3
/
ATOMIC_SPECIES
Tl 204.38 Tl.upf
Re 186.21 Re.upf
Ag 107.87 Ag.upf
ATOMIC_POSITIONS angstrom
Tl 0.000 0.000 0.000
Tl 0.000 0.000 7.529
Re 0.000 0.000 15.791
Ag 0.000 0.000 24.338
CELL_PARAMETERS angstrom
1.515 0.875 10.786
-1.515 0.875 10.786
0.000 -1.750 10.786
```